DFT (PBE) results for a geometry-optimized NaSrIr structure.

a = 4.912 Å, b = 4.912 Å, c = 4.912 Å
α = 60.00°, β = 60.00°, γ = 60.00°
Sites, in units of the cell vectors:
1 Sr 0.750 0.750 0.750
2 Ir 0.000 0.000 0.000
3 Na 0.250 0.250 0.250

Space-group type: No. 216
DFT total energy in eV for the cell shown: -11.0
Size of the total moment in μB/f.u.: 0.00
Crystal system: cubic

=====

DFT (PBE) results for a geometry-optimized NaSrIr structure.

a = 4.889 Å, b = 4.889 Å, c = 4.889 Å
α = 60.00°, β = 60.00°, γ = 60.00°
Sites, in units of the cell vectors:
1 Sr 0.000 0.000 0.000
2 Ir 0.250 0.250 0.250
3 Na 0.750 0.750 0.750

Space-group type: No. 216
DFT total energy in eV for the cell shown: -9.8
Size of the total moment in μB/f.u.: 0.00
Crystal system: cubic

=====

DFT (PBE) results for a geometry-optimized NaSrIrW structure.

a = 4.774 Å, b = 4.774 Å, c = 4.774 Å
α = 60.00°, β = 60.00°, γ = 60.00°
Sites, in units of the cell vectors:
1 Na 0.750 0.750 0.750
2 Sr 0.500 0.500 0.500
3 Ir 0.000 0.000 0.000
4 W 0.250 0.250 0.250

Space-group type: No. 216
DFT total energy in eV for the cell shown: -21.4
Size of the total moment in μB/f.u.: 0.01
Crystal system: cubic

=====

DFT (PBE) results for a geometry-optimized NaSrIrW structure.

a = 5.007 Å, b = 5.007 Å, c = 5.007 Å
α = 60.00°, β = 60.00°, γ = 60.00°
Sites, in units of the cell vectors:
1 Sr 0.250 0.250 0.250
2 W 0.000 0.000 0.000
3 Ir 0.500 0.500 0.500
4 Na 0.750 0.750 0.750

Space-group type: No. 216
DFT total energy in eV for the cell shown: -19.1
Size of the total moment in μB/f.u.: 3.91
Crystal system: cubic

=====

DFT (PBE) results for a geometry-optimized NaSrIrW structure.

a = 4.836 Å, b = 4.836 Å, c = 4.836 Å
α = 60.00°, β = 60.00°, γ = 60.00°
Sites, in units of the cell vectors:
1 Sr 0.500 0.500 0.500
2 Ir 0.250 0.250 0.250
3 Na 0.750 0.750 0.750
4 W 0.000 0.000 0.000

Space-group type: No. 216
DFT total energy in eV for the cell shown: -21.3
Size of the total moment in μB/f.u.: 0.01
Crystal system: cubic

=====

DFT (PBE) results for a geometry-optimized NaTaIr structure.

a = 4.379 Å, b = 4.379 Å, c = 4.379 Å
α = 60.00°, β = 60.00°, γ = 60.00°
Sites, in units of the cell vectors:
1 Na 0.250 0.250 0.250
2 Ta 0.750 0.750 0.750
3 Ir 0.000 0.000 0.000

Space-group type: No. 216
DFT total energy in eV for the cell shown: -20.5
Size of the total moment in μB/f.u.: 0.30
Crystal system: cubic

=====

DFT (PBE) results for a geometry-optimized NaTaTlIr structure.

a = 4.704 Å, b = 4.704 Å, c = 4.704 Å
α = 60.00°, β = 60.00°, γ = 60.00°
Sites, in units of the cell vectors:
1 Tl 0.500 0.500 0.500
2 Ir 0.000 0.000 0.000
3 Na 0.750 0.750 0.750
4 Ta 0.250 0.250 0.250

Space-group type: No. 216
DFT total energy in eV for the cell shown: -22.9
Size of the total moment in μB/f.u.: 0.00
Crystal system: cubic

=====

DFT (PBE) results for a geometry-optimized NaTaTlIr structure.

a = 4.641 Å, b = 4.641 Å, c = 4.641 Å
α = 60.00°, β = 60.00°, γ = 60.00°
Sites, in units of the cell vectors:
1 Tl 0.500 0.500 0.500
2 Ir 0.250 0.250 0.250
3 Ta 0.000 0.000 0.000
4 Na 0.750 0.750 0.750

Space-group type: No. 216
DFT total energy in eV for the cell shown: -23.5
Size of the total moment in μB/f.u.: 0.00
Crystal system: cubic

=====

DFT (PBE) results for a geometry-optimized NaYTaIr structure.

a = 4.786 Å, b = 4.786 Å, c = 4.786 Å
α = 60.00°, β = 60.00°, γ = 60.00°
Sites, in units of the cell vectors:
1 Ir 0.250 0.250 0.250
2 Na 0.750 0.750 0.750
3 Y 0.000 0.000 0.000
4 Ta 0.500 0.500 0.500

Space-group type: No. 216
DFT total energy in eV for the cell shown: -27.8
Size of the total moment in μB/f.u.: 0.00
Crystal system: cubic

=====

DFT (PBE) results for a geometry-optimized NaYTaIr structure.

a = 4.754 Å, b = 4.754 Å, c = 4.754 Å
α = 60.00°, β = 60.00°, γ = 60.00°
Sites, in units of the cell vectors:
1 Ir 0.500 0.500 0.500
2 Na 0.750 0.750 0.750
3 Ta 0.250 0.250 0.250
4 Y 0.000 0.000 0.000

Space-group type: No. 216
DFT total energy in eV for the cell shown: -27.2
Size of the total moment in μB/f.u.: 0.12
Crystal system: cubic

=====

DFT (PBE) results for a geometry-optimized NaTbIr structure.

a = 4.706 Å, b = 4.706 Å, c = 4.706 Å
α = 60.00°, β = 60.00°, γ = 60.00°
Sites, in units of the cell vectors:
1 Na 0.750 0.750 0.750
2 Tb 0.250 0.250 0.250
3 Ir 0.000 0.000 0.000

Space-group type: No. 216
DFT total energy in eV for the cell shown: -14.9
Size of the total moment in μB/f.u.: 0.00
Crystal system: cubic

=====

DFT (PBE) results for a geometry-optimized NaTe5Ir3 structure.

a = 5.869 Å, b = 5.869 Å, c = 7.872 Å
α = 90.00°, β = 90.00°, γ = 120.00°
Sites, in units of the cell vectors:
1 Te 0.667 0.333 0.231
2 Te 0.333 0.667 0.769
3 Te 0.000 0.000 0.500
4 Te 0.667 0.333 0.769
5 Te 0.333 0.667 0.231
6 Na 0.000 0.000 0.000
7 Ir 0.500 0.500 0.500
8 Ir 0.000 0.500 0.500
9 Ir 0.500 0.000 0.500

Space-group type: No. 191
DFT total energy in eV for the cell shown: -43.4
Size of the total moment in μB/f.u.: 0.00
Crystal system: hexagonal

=====

DFT (PBE) results for a geometry-optimized NaUIr structure.

a = 4.647 Å, b = 4.647 Å, c = 4.647 Å
α = 60.00°, β = 60.00°, γ = 60.00°
Sites, in units of the cell vectors:
1 Na 0.750 0.750 0.750
2 Ir 0.250 0.250 0.250
3 U 0.000 0.000 0.000

Space-group type: No. 216
DFT total energy in eV for the cell shown: -18.9
Size of the total moment in μB/f.u.: 2.27
Crystal system: cubic

=====

DFT (PBE) results for a geometry-optimized NaUIr structure.

a = 4.494 Å, b = 4.494 Å, c = 4.494 Å
α = 60.00°, β = 60.00°, γ = 60.00°
Sites, in units of the cell vectors:
1 U 0.750 0.750 0.750
2 Na 0.000 0.000 0.000
3 Ir 0.250 0.250 0.250

Space-group type: No. 216
DFT total energy in eV for the cell shown: -18.3
Size of the total moment in μB/f.u.: 2.65
Crystal system: cubic

=====

DFT (PBE) results for a geometry-optimized NaIrW4 structure.

a = 6.928 Å, b = 6.928 Å, c = 6.928 Å
α = 37.44°, β = 37.44°, γ = 37.44°
Sites, in units of the cell vectors:
1 W 0.137 0.137 0.137
2 W 0.863 0.863 0.863
3 W 0.639 0.639 0.639
4 W 0.361 0.361 0.361
5 Na 0.000 0.000 0.000
6 Ir 0.500 0.500 0.500

Space-group type: No. 166
DFT total energy in eV for the cell shown: -52.2
Size of the total moment in μB/f.u.: 0.01
Crystal system: trigonal

=====

DFT (PBE) results for a geometry-optimized NaIrW structure.

a = 4.298 Å, b = 4.298 Å, c = 4.298 Å
α = 60.00°, β = 60.00°, γ = 60.00°
Sites, in units of the cell vectors:
1 Na 0.250 0.250 0.250
2 W 0.750 0.750 0.750
3 Ir 0.000 0.000 0.000

Space-group type: No. 216
DFT total energy in eV for the cell shown: -20.5
Size of the total moment in μB/f.u.: 0.09
Crystal system: cubic

=====

DFT (PBE) results for a geometry-optimized NaZnIrW structure.

a = 4.444 Å, b = 4.444 Å, c = 4.444 Å
α = 60.00°, β = 60.00°, γ = 60.00°
Sites, in units of the cell vectors:
1 Ir 0.500 0.500 0.500
2 W 0.250 0.250 0.250
3 Zn 0.000 0.000 0.000
4 Na 0.750 0.750 0.750

Space-group type: No. 216
DFT total energy in eV for the cell shown: -22.8
Size of the total moment in μB/f.u.: 0.00
Crystal system: cubic

=====

DFT (PBE) results for a geometry-optimized NaZnIrW structure.

a = 4.408 Å, b = 4.408 Å, c = 4.408 Å
α = 60.00°, β = 60.00°, γ = 60.00°
Sites, in units of the cell vectors:
1 Na 0.750 0.750 0.750
2 W 0.500 0.500 0.500
3 Ir 0.250 0.250 0.250
4 Zn 0.000 0.000 0.000

Space-group type: No. 216
DFT total energy in eV for the cell shown: -23.2
Size of the total moment in μB/f.u.: 0.00
Crystal system: cubic

=====

DFT (PBE) results for a geometry-optimized NaZrIr structure.

a = 4.516 Å, b = 4.516 Å, c = 4.516 Å
α = 60.00°, β = 60.00°, γ = 60.00°
Sites, in units of the cell vectors:
1 Ir 0.000 0.000 0.000
2 Zr 0.750 0.750 0.750
3 Na 0.250 0.250 0.250

Space-group type: No. 216
DFT total energy in eV for the cell shown: -18.5
Size of the total moment in μB/f.u.: 0.00
Crystal system: cubic

=====

DFT (PBE) results for a geometry-optimized Nb6Ir7 structure.

a = 9.547 Å, b = 9.547 Å, c = 9.547 Å
α = 31.73°, β = 31.73°, γ = 31.73°
Sites, in units of the cell vectors:
1 Nb 0.836 0.836 0.836
2 Nb 0.655 0.655 0.655
3 Nb 0.164 0.164 0.164
4 Nb 0.451 0.451 0.451
5 Nb 0.549 0.549 0.549
6 Nb 0.345 0.345 0.345
7 Ir 0.000 0.000 0.000
8 Ir 0.089 0.089 0.586
9 Ir 0.414 0.911 0.911
10 Ir 0.911 0.414 0.911
11 Ir 0.586 0.089 0.089
12 Ir 0.089 0.586 0.089
13 Ir 0.911 0.911 0.414

Space-group type: No. 166
DFT total energy in eV for the cell shown: -127.9
Size of the total moment in μB/f.u.: 0.00
Energy of formation from the pure elements in eV per atom: -0.411
Crystal system: trigonal

=====

DFT (PBE) results for a geometry-optimized NbIr structure.

a = 2.837 Å, b = 2.837 Å, c = 4.599 Å
α = 90.00°, β = 90.00°, γ = 120.00°
Sites, in units of the cell vectors:
1 Nb 0.333 0.667 0.250
2 Ir 0.667 0.333 0.750

Space-group type: No. 187
DFT total energy in eV for the cell shown: -19.5
Size of the total moment in μB/f.u.: 0.00
Energy of formation from the pure elements in eV per atom: -0.267
Crystal system: hexagonal

=====

DFT (PBE) results for a geometry-optimized NbIr structure.

a = 3.730 Å, b = 3.730 Å, c = 3.730 Å
α = 60.00°, β = 60.00°, γ = 60.00°
Sites, in units of the cell vectors:
1 Ir 0.000 0.000 0.000
2 Nb 0.500 0.500 0.500

Space-group type: No. 225
DFT total energy in eV for the cell shown: -18.8
Size of the total moment in μB/f.u.: 0.00
Energy of formation from the pure elements in eV per atom: 0.098
Crystal system: cubic

=====

DFT (PBE) results for a geometry-optimized NbIr structure.

a = 2.872 Å, b = 2.872 Å, c = 3.894 Å
α = 90.00°, β = 90.00°, γ = 90.00°
Sites, in units of the cell vectors:
1 Ir 0.000 0.000 0.000
2 Nb 0.500 0.500 0.500

Space-group type: No. 123
DFT total energy in eV for the cell shown: -20.0
Size of the total moment in μB/f.u.: 0.00
Energy of formation from the pure elements in eV per atom: -0.511
Crystal system: tetragonal

=====

DFT (PBE) results for a geometry-optimized NbIr structure.

a = 4.088 Å, b = 4.088 Å, c = 4.088 Å
α = 60.00°, β = 60.00°, γ = 60.00°
Sites, in units of the cell vectors:
1 Ir 0.000 0.000 0.000
2 Nb 0.250 0.250 0.250

Space-group type: No. 216
DFT total energy in eV for the cell shown: -17.8
Size of the total moment in μB/f.u.: 0.00
Energy of formation from the pure elements in eV per atom: 0.599
Crystal system: cubic

=====

DFT (PBE) results for a geometry-optimized NdNb2Ir2 structure.

a = 6.147 Å, b = 6.147 Å, c = 6.147 Å
α = 137.26°, β = 137.26°, γ = 62.04°
Sites, in units of the cell vectors:
1 Nb 0.750 0.250 0.500
2 Nb 0.250 0.750 0.500
3 Nd 0.000 0.000 0.000
4 Ir 0.626 0.626 0.000
5 Ir 0.374 0.374 0.000

Space-group type: No. 139
DFT total energy in eV for the cell shown: -45.3
Size of the total moment in μB/f.u.: 0.00
Energy of formation from the pure elements in eV per atom: -0.532
Crystal system: tetragonal

=====

DFT (PBE) results for a geometry-optimized NdNbIr structure.

a = 4.670 Å, b = 4.670 Å, c = 4.670 Å
α = 60.00°, β = 60.00°, γ = 60.00°
Sites, in units of the cell vectors:
1 Ir 0.000 0.000 0.000
2 Nb 0.750 0.750 0.750
3 Nd 0.250 0.250 0.250

Space-group type: No. 216
DFT total energy in eV for the cell shown: -23.5
Size of the total moment in μB/f.u.: 0.19
Energy of formation from the pure elements in eV per atom: 0.069
Crystal system: cubic

=====

DFT (PBE) results for a geometry-optimized NdNbIr structure.

a = 4.602 Å, b = 4.602 Å, c = 4.602 Å
α = 60.00°, β = 60.00°, γ = 60.00°
Sites, in units of the cell vectors:
1 Nb 0.750 0.750 0.750
2 Ir 0.250 0.250 0.250
3 Nd 0.000 0.000 0.000

Space-group type: No. 216
DFT total energy in eV for the cell shown: -20.5
Size of the total moment in μB/f.u.: 0.06
Energy of formation from the pure elements in eV per atom: 1.069
Crystal system: cubic

=====

DFT (PBE) results for a geometry-optimized NbNiIr structure.

a = 4.211 Å, b = 4.211 Å, c = 4.211 Å
α = 60.00°, β = 60.00°, γ = 60.00°
Sites, in units of the cell vectors:
1 Nb 0.250 0.250 0.250
2 Ir 0.000 0.000 0.000
3 Ni 0.750 0.750 0.750

Space-group type: No. 216
DFT total energy in eV for the cell shown: -24.2
Size of the total moment in μB/f.u.: 0.00
Energy of formation from the pure elements in eV per atom: 0.106
Crystal system: cubic

=====

DFT (PBE) results for a geometry-optimized NbNiIr structure.

a = 4.171 Å, b = 4.171 Å, c = 4.171 Å
α = 60.00°, β = 60.00°, γ = 60.00°
Sites, in units of the cell vectors:
1 Ni 0.750 0.750 0.750
2 Ir 0.250 0.250 0.250
3 Nb 0.000 0.000 0.000

Space-group type: No. 216
DFT total energy in eV for the cell shown: -24.2
Size of the total moment in μB/f.u.: 0.00
Energy of formation from the pure elements in eV per atom: 0.121
Crystal system: cubic

=====

DFT (PBE) results for a geometry-optimized Nb2NiIr5 structure.

a = 4.440 Å, b = 5.538 Å, c = 5.538 Å
α = 60.33°, β = 90.00°, γ = 90.00°
Sites, in units of the cell vectors:
1 Nb 0.000 0.665 0.665
2 Nb 0.500 0.331 0.331
3 Ir 0.500 0.326 0.843
4 Ir 0.500 0.843 0.326
5 Ir 0.000 0.672 0.163
6 Ir 0.500 0.837 0.837
7 Ir 0.000 0.163 0.672
8 Ni 0.000 0.164 0.164

Space-group type: No. 38
DFT total energy in eV for the cell shown: -74.3
Size of the total moment in μB/f.u.: 0.01
Energy of formation from the pure elements in eV per atom: -0.535
Crystal system: orthorhombic

=====

DFT (PBE) results for a geometry-optimized NbNiIrPb structure.

a = 4.558 Å, b = 4.558 Å, c = 4.558 Å
α = 60.00°, β = 60.00°, γ = 60.00°
Sites, in units of the cell vectors:
1 Ni 0.750 0.750 0.750
2 Ir 0.500 0.500 0.500
3 Pb 0.000 0.000 0.000
4 Nb 0.250 0.250 0.250

Space-group type: No. 216
DFT total energy in eV for the cell shown: -27.4
Size of the total moment in μB/f.u.: 0.00
Crystal system: cubic